(1)
Material: CaBe4P
Method: DFT, PBE-GGA
State: optimized geometry

a = 4.784 Å, b = 4.784 Å, c = 4.784 Å
α = 60.00°, β = 60.00°, γ = 60.00°
Atoms (fractional coordinates):
Ca: 0.000 0.000 0.000
Be: 0.372 0.372 0.372
Be: 0.372 0.372 0.883
Be: 0.372 0.883 0.372
Be: 0.883 0.372 0.372
P: 0.750 0.750 0.750

=====

(2)
Material: TmSc2Cd2
Method: DFT, PBE-GGA
State: optimized geometry

Summary:
The calculation puts the excess energy over the best structure of this formula in the dataset at 6.07 kcal/mol of atoms.

a = 12.502 Å, b = 12.502 Å, c = 12.502 Å
α = 158.54°, β = 158.54°, γ = 30.53°
Atoms (fractional coordinates):
Tm: 0.132 0.132 0.000
Tm: 0.868 0.868 0.000
Sc: 0.250 0.750 0.500
Sc: 0.427 0.427 0.000
Sc: 0.573 0.573 0.000
Sc: 0.750 0.250 0.500
Cd: 0.000 0.500 0.500
Cd: 0.317 0.317 0.000
Cd: 0.500 0.000 0.500
Cd: 0.683 0.683 0.000

=====

(3)
Material: PmHoZnGa
Method: DFT, PBE-GGA
State: optimized geometry

a = 7.229 Å, b = 7.229 Å, c = 7.229 Å
α = 90.00°, β = 90.00°, γ = 90.00°
Atoms (fractional coordinates):
Pm: 0.000 0.000 0.000
Pm: 0.000 0.500 0.500
Pm: 0.500 0.000 0.500
Pm: 0.500 0.500 0.000
Ho: 0.000 0.000 0.500
Ho: 0.000 0.500 0.000
Ho: 0.500 0.000 0.000
Ho: 0.500 0.500 0.500
Zn: 0.250 0.250 0.750
Zn: 0.250 0.750 0.250
Zn: 0.750 0.250 0.250
Zn: 0.750 0.750 0.750
Ga: 0.250 0.250 0.250
Ga: 0.250 0.750 0.750
Ga: 0.750 0.250 0.750
Ga: 0.750 0.750 0.250

=====

We obtain calculated total energy values of -3.300, -3.762, -3.870 eV/atom for the records listed above, in that order.
We obtain ρ values of 2.30, 6.15, 7.83 Mg/m³ for the records listed above, in that order.
We obtain energy of formation from the pure elements values of 0.419, 0.031, -0.463 eV/atom for the records listed above, in that order.